Here is crystalline YTl2In2Cl6 at its relaxed geometry from Alexandria. Energies are from GGA-PBE.

```
11
Lattice="7.9745 -0.4832 -0.5798 -4.3615 6.6936 -0.5798 -1.9302 -3.3179 8.7846" Properties=species:S:1:pos:R:3 pbc="T T T"
Tl 2.8833 0.2583 3.8125
In 4.9919 1.2521 -0.5798
Tl -1.2005 2.6342 3.8125
Cl 0.0198 0.0341 2.6093
Cl -2.0010 0.3474 5.8104
Cl 1.6630 2.8585 5.0156
Cl 0.3917 4.4603 1.8146
Cl 1.2911 -1.5678 5.8104
Cl 3.6838 2.5451 1.8146
Y -0.9651 -1.6589 4.3923
In -1.3788 4.9583 -0.5798
```

Calculated values
The theoretical density is 3.7 g cm⁻³. As for the space group: C2/m (12). The value obtained for the density of states at the Fermi level is 2.82 states/eV per cell. Its formation energy without anion corrections is -1.258 eV per atom.